1.
VASP calculation (GGA-PBE) on crystalline Ta3Re2 at its relaxed geometry.

a = 10.9721 Å, b = 10.9721 Å, c = 10.9721 Å
α = 15.84°, β = 15.84°, γ = 15.84°
Fractional positions:
Ta (0.0000, 0.0000, 0.0000)
Ta (0.2025, 0.2025, 0.2025)
Ta (0.7975, 0.7975, 0.7975)
Re (0.3990, 0.3990, 0.3990)
Re (0.6010, 0.6010, 0.6010)

## Properties
- total magnetization (μB/f.u.) = 0.00
- uncorrected energy (eV per atom) = -12.0139
- space group = R-3m (166)



2.
VASP calculation (GGA-PBE) on crystalline SmTm4Th5 at its relaxed geometry.

a = 3.5172 Å, b = 8.3489 Å, c = 11.2620 Å
α = 87.56°, β = 98.98°, γ = 90.00°
Fractional positions:
Sm (0.5000, 0.0000, 0.0000)
Tm (0.3206, 0.0094, 0.6413)
Tm (0.9081, 0.7448, 0.8161)
Tm (0.6794, 0.9906, 0.3587)
Tm (0.0919, 0.2552, 0.1839)
Th (0.7650, 0.6631, 0.5301)
Th (0.8850, 0.3272, 0.7700)
Th (0.1150, 0.6728, 0.2300)
Th (0.5000, 0.5000, 0.0000)
Th (0.2350, 0.3369, 0.4699)

## Properties
- total magnetization (μB/f.u.) = 0.00
- uncorrected energy (eV per atom) = -5.7638
- space group = C2/m (12)



Number 1: calculated formation energy 0.08 eV/atom. Number 2: calculated formation energy 0.21 eV/atom.